The following is a DFT calculation (GGA+U) of crystalline Tb4Co6O19 at its relaxed geometry.

Cell: 8.4792 8.4792 8.4792 Å, 90.00 90.00 90.00°
Closest atoms and distances in Å follow each position.
Space group I23 (No. 197)
Symmetry-distinct sites (fractional):
Tb 0.1634 0.1634 0.8366 x8  10 O 2.40-2.56
Co 0.0000 0.3405 0.5000 x12  6 O 1.85-1.88
O 0.0000 0.0000 0.0000 x2  4 Tb 2.40
O 0.0000 0.0000 0.3502 x12  2 Co 1.86
O 0.0390 0.3227 0.2857 x24  2 Co 1.85-1.88

Calculated values
Magnetization in μB per cell: 16.090
D(E_F) in states/eV per atom: 0.20
Calculated total energy in eV per atom: -6.611